[1]
{
  "formula": "CsSnHgBr3",
  "functional": "PBE-GGA",
  "state": "relaxed",
  "lattice_angstrom": [[4.062, -8.807, 0.000], [4.062, 8.807, 0.000], [0.000, 0.000, 8.623]],
  "species": ["Cs", "Cs", "Sn", "Sn", "Hg", "Hg", "Br", "Br", "Br", "Br", "Br", "Br"],
  "frac_coords": [[0.127, 0.873, 0.750], [0.873, 0.127, 0.250], [0.494, 0.506, 0.750], [0.506, 0.494, 0.250], [0.148, 0.852, 0.250], [0.852, 0.148, 0.750], [0.242, 0.242, 0.000], [0.242, 0.242, 0.500], [0.354, 0.646, 0.250], [0.646, 0.354, 0.750], [0.758, 0.758, 0.000], [0.758, 0.758, 0.500]],
  "formation_energy_uncorrected_mev_per_atom": -944,
  "total_magnetization_mub_per_fu": 0.0,
  "dos_ef_per_ev_atom": 0.000,
  "sg": "Cmcm, No. 63",
  "dft_energy_ev_per_atom": -2.6406
}

[2]
{
  "formula": "CsSnHgBr2",
  "functional": "PBE-GGA",
  "state": "relaxed",
  "lattice_angstrom": [[6.015, 0.000, 0.000], [0.000, 6.015, 0.000], [0.000, 0.000, 5.830]],
  "species": ["Cs", "Sn", "Hg", "Br", "Br"],
  "frac_coords": [[0.000, 0.000, 0.000], [0.500, 0.500, 0.500], [0.500, 0.500, 0.000], [0.000, 0.500, 0.500], [0.500, 0.000, 0.500]],
  "formation_energy_uncorrected_mev_per_atom": -798,
  "total_magnetization_mub_per_fu": 0.0,
  "dos_ef_per_ev_atom": 0.591,
  "sg": "P4/mmm, No. 123",
  "dft_energy_ev_per_atom": -2.4983
}

[3]
{
  "formula": "CsSnHg2Br8",
  "functional": "PBE-GGA",
  "state": "relaxed",
  "lattice_angstrom": [[6.924, 0.000, 0.000], [0.050, 7.889, 0.000], [1.232, 3.472, 9.309]],
  "species": ["Cs", "Sn", "Hg", "Hg", "Br", "Br", "Br", "Br", "Br", "Br", "Br", "Br"],
  "frac_coords": [[0.000, 0.000, 0.000], [0.000, 0.500, 0.500], [0.446, 0.533, 0.205], [0.554, 0.467, 0.795], [0.156, 0.469, 0.755], [0.248, 0.792, 0.340], [0.278, 0.267, 0.424], [0.477, 0.767, 0.950], [0.523, 0.233, 0.050], [0.722, 0.733, 0.576], [0.752, 0.208, 0.660], [0.844, 0.531, 0.245]],
  "formation_energy_uncorrected_mev_per_atom": -726,
  "total_magnetization_mub_per_fu": 0.0,
  "dos_ef_per_ev_atom": 0.503,
  "sg": "P-1, No. 2",
  "dft_energy_ev_per_atom": -2.2958
}

[4]
{
  "formula": "CsSrHg2Br6",
  "functional": "PBE-GGA",
  "state": "relaxed",
  "lattice_angstrom": [[3.909, 2.257, 7.036], [-3.909, 2.257, 7.036], [0.000, -4.513, 7.036]],
  "species": ["Cs", "Sr", "Hg", "Hg", "Br", "Br", "Br", "Br", "Br", "Br"],
  "frac_coords": [[0.000, 0.000, 0.000], [0.467, 0.467, 0.467], [0.269, 0.269, 0.269], [0.779, 0.779, 0.779], [0.039, 0.482, 0.574], [0.153, 0.895, 0.527], [0.482, 0.574, 0.039], [0.527, 0.153, 0.895], [0.574, 0.039, 0.482], [0.895, 0.527, 0.153]],
  "formation_energy_uncorrected_mev_per_atom": -1144,
  "total_magnetization_mub_per_fu": 0.0,
  "dos_ef_per_ev_atom": 0.147,
  "sg": "R3, No. 146",
  "dft_energy_ev_per_atom": -2.4615
}

[5]
{
  "formula": "Cs2TbHgBr6",
  "functional": "PBE-GGA",
  "state": "relaxed",
  "lattice_angstrom": [[8.326, 0.000, 0.000], [0.000, 11.748, 0.000], [0.000, 0.000, 8.332]],
  "species": ["Cs", "Cs", "Cs", "Cs", "Tb", "Tb", "Hg", "Hg", "Br", "Br", "Br", "Br", "Br", "Br", "Br", "Br", "Br", "Br", "Br", "Br"],
  "frac_coords": [[0.250, 0.000, 0.249], [0.250, 0.500, 0.249], [0.750, 0.000, 0.751], [0.750, 0.500, 0.751], [0.250, 0.250, 0.751], [0.750, 0.750, 0.249], [0.250, 0.750, 0.749], [0.750, 0.250, 0.251], [0.011, 0.250, 0.513], [0.012, 0.250, 0.990], [0.250, 0.011, 0.752], [0.250, 0.489, 0.752], [0.488, 0.250, 0.990], [0.489, 0.250, 0.513], [0.511, 0.750, 0.487], [0.512, 0.750, 0.010], [0.750, 0.511, 0.248], [0.750, 0.989, 0.248], [0.988, 0.750, 0.010], [0.989, 0.750, 0.487]],
  "formation_energy_uncorrected_mev_per_atom": -1502,
  "total_magnetization_mub_per_fu": 0.0,
  "dos_ef_per_ev_atom": 0.431,
  "sg": "Pmmn, No. 59",
  "dft_energy_ev_per_atom": -3.1701
}

[6]
{
  "formula": "CsTbHgBr6",
  "functional": "PBE-GGA",
  "state": "relaxed",
  "lattice_angstrom": [[7.427, 0.000, 0.000], [-3.714, 6.432, 0.000], [0.000, 0.000, 8.060]],
  "species": ["Cs", "Tb", "Hg", "Br", "Br", "Br", "Br", "Br", "Br"],
  "frac_coords": [[0.000, 0.000, 0.000], [0.333, 0.667, 0.500], [0.667, 0.333, 0.500], [0.004, 0.383, 0.706], [0.004, 0.621, 0.294], [0.379, 0.383, 0.294], [0.379, 0.996, 0.706], [0.617, 0.621, 0.706], [0.617, 0.996, 0.294]],
  "formation_energy_uncorrected_mev_per_atom": -1390,
  "total_magnetization_mub_per_fu": 0.0,
  "dos_ef_per_ev_atom": 0.000,
  "sg": "P312, No. 149",
  "dft_energy_ev_per_atom": -3.1477
}